Dy3TeAs2: optimized geometry, PBE.

Cell lengths 7.437, 11.294, 8.726 Å; angles 90.00, 90.00, 90.00 degrees
Space group Imma (No. 74)
Symmetry-distinct sites (fractional):
1 Dy 0.228 0.000 0.000 (multiplicity 8)
2 Dy 0.250 0.250 0.250 (multiplicity 4)
3 Te 0.000 0.250 0.939 (multiplicity 4)
4 As 0.000 0.053 0.286 (multiplicity 8)

Its final energy is -5.4368 eV/atom. The crystal system is orthorhombic. The energy relative to the elements, uncorrected comes out at -1.062 eV/atom.